# 1
DFT (PBE) results for crystalline Ni4Pt2I at its relaxed geometry.

Structure (CIF):
```
data_Ni4Pt2I
_cell_length_a 4.5916
_cell_length_b 4.5916
_cell_length_c 6.9476
_cell_angle_alpha 70.70
_cell_angle_beta 70.70
_cell_angle_gamma 90.00
_space_group_name_H-M_alt 'P 1'
_space_group_IT_number 1
loop_
_space_group_symop_operation_xyz
'x,y,z'
loop_
_atom_site_label
_atom_site_type_symbol
_atom_site_fract_x
_atom_site_fract_y
_atom_site_fract_z
_atom_site_occupancy
I1 I 0.0000 0.0000 0.0000 1
Ni1 Ni 0.8043 0.8043 0.3915 1
Ni2 Ni 0.1957 0.1957 0.6085 1
Ni3 Ni 0.0000 0.5000 0.0000 1
Ni4 Ni 0.5000 0.0000 0.0000 1
Pt1 Pt 0.6098 0.6098 0.7805 1
Pt2 Pt 0.3902 0.3902 0.2195 1
```

Summary:
**D(E_F)**: 13.19 states/eV per cell
**Raw formation energy**: 21.77 kcal/mol of atoms
**Total energy**: -30.149 eV/cell

=====

# 2
DFT (PBE) results for crystalline CaZrBe2 at its relaxed geometry.

Structure (CIF):
```
data_CaZrBe2
_cell_length_a 6.1635
_cell_length_b 6.1635
_cell_length_c 6.1635
_cell_angle_alpha 149.88
_cell_angle_beta 139.79
_cell_angle_gamma 51.05
_space_group_name_H-M_alt 'P 1'
_space_group_IT_number 1
loop_
_space_group_symop_operation_xyz
'x,y,z'
loop_
_atom_site_label
_atom_site_type_symbol
_atom_site_fract_x
_atom_site_fract_y
_atom_site_fract_z
_atom_site_occupancy
Be1 Be 0.9182 0.9182 0.0000 1
Be2 Be 0.7920 0.2920 0.5000 1
Ca1 Ca 0.5326 0.5326 0.0000 1
Zr1 Zr 0.2572 0.7572 0.5000 1
```

Summary:
**D(E_F)**: 2.13 states/eV per cell
**Total energy**: -16.822 eV/cell
**ΔE to the lowest computed polymorph**: 0.1625 eV per atom

=====

# 3
DFT (PBE) results for crystalline La3HoS4 at its relaxed geometry.

Structure (CIF):
```
data_La3HoS4
_cell_length_a 7.0808
_cell_length_b 7.1230
_cell_length_c 8.1381
_cell_angle_alpha 90.00
_cell_angle_beta 90.00
_cell_angle_gamma 109.41
_space_group_name_H-M_alt 'P 1'
_space_group_IT_number 1
loop_
_space_group_symop_operation_xyz
'x,y,z'
loop_
_atom_site_label
_atom_site_type_symbol
_atom_site_fract_x
_atom_site_fract_y
_atom_site_fract_z
_atom_site_occupancy
S1 S 0.9913 0.2414 0.6336 1
S2 S 0.5002 0.2344 0.8832 1
S3 S 0.4913 0.2414 0.3664 1
S4 S 0.0002 0.2344 0.1168 1
S5 S 0.9998 0.7656 0.8832 1
S6 S 0.5087 0.7586 0.6336 1
S7 S 0.4998 0.7656 0.1168 1
S8 S 0.0087 0.7586 0.3664 1
Ho1 Ho 0.7500 0.0000 0.8746 1
Ho2 Ho 0.2500 0.0000 0.1254 1
La1 La 0.7500 0.0000 0.3749 1
La2 La 0.2500 0.0000 0.6251 1
La3 La 0.7500 0.5000 0.6239 1
La4 La 0.7500 0.5000 0.1256 1
La5 La 0.2500 0.5000 0.3761 1
La6 La 0.2500 0.5000 0.8744 1
```

Summary:
**D(E_F)**: 7.66 states/eV per cell
**Raw formation energy**: -48.76 kcal/mol of atoms
**Total energy**: -105.571 eV/cell
**ΔE to the lowest computed polymorph**: 0.0000 eV per atom

=====

# 4
DFT (PBE) results for crystalline PmDy12In6 at its relaxed geometry.

Structure (CIF):
```
data_PmDy12In6
_cell_length_a 8.8423
_cell_length_b 8.8423
_cell_length_c 8.8423
_cell_angle_alpha 103.41
_cell_angle_beta 103.41
_cell_angle_gamma 103.41
_space_group_name_H-M_alt 'P 1'
_space_group_IT_number 1
loop_
_space_group_symop_operation_xyz
'x,y,z'
loop_
_atom_site_label
_atom_site_type_symbol
_atom_site_fract_x
_atom_site_fract_y
_atom_site_fract_z
_atom_site_occupancy
Pm1 Pm 0.0000 0.0000 0.0000 1
Dy1 Dy 0.8782 0.1218 0.5000 1
Dy2 Dy 0.8220 0.5557 0.5557 1
Dy3 Dy 0.5557 0.5557 0.8220 1
Dy4 Dy 0.4443 0.1780 0.4443 1
Dy5 Dy 0.4443 0.4443 0.1780 1
Dy6 Dy 0.1780 0.4443 0.4443 1
Dy7 Dy 0.1218 0.5000 0.8782 1
Dy8 Dy 0.5000 0.8782 0.1218 1
Dy9 Dy 0.1218 0.8782 0.5000 1
Dy10 Dy 0.8782 0.5000 0.1218 1
Dy11 Dy 0.5000 0.1218 0.8782 1
Dy12 Dy 0.5557 0.8220 0.5557 1
In1 In 0.7025 0.2448 0.2448 1
In2 In 0.2448 0.2448 0.7025 1
In3 In 0.2448 0.7025 0.2448 1
In4 In 0.7552 0.7552 0.2975 1
In5 In 0.2975 0.7552 0.7552 1
In6 In 0.7552 0.2975 0.7552 1
```

Summary:
**D(E_F)**: 28.02 states/eV per cell
**Total energy**: -77.186 eV/cell

=====

# 5
DFT (PBE) results for crystalline LiAgTe2 at its relaxed geometry.

Structure (CIF):
```
data_LiAgTe2
_cell_length_a 5.0288
_cell_length_b 5.0288
_cell_length_c 9.3067
_cell_angle_alpha 74.33
_cell_angle_beta 74.33
_cell_angle_gamma 90.00
_space_group_name_H-M_alt 'P 1'
_space_group_IT_number 1
loop_
_space_group_symop_operation_xyz
'x,y,z'
loop_
_atom_site_label
_atom_site_type_symbol
_atom_site_fract_x
_atom_site_fract_y
_atom_site_fract_z
_atom_site_occupancy
Te1 Te 0.6138 0.1250 0.2500 1
Te2 Te 0.1362 0.6250 0.2500 1
Te3 Te 0.3750 0.3862 0.7500 1
Te4 Te 0.8750 0.8638 0.7500 1
Ag1 Ag 0.0000 0.0000 0.0000 1
Ag2 Ag 0.7500 0.2500 0.5000 1
Li1 Li 0.5000 0.5000 0.0000 1
Li2 Li 0.2500 0.7500 0.5000 1
```

Summary:
**D(E_F)**: 2.74 states/eV per cell
**Raw formation energy**: -6.43 kcal/mol of atoms
**Total energy**: -24.327 eV/cell

=====

# 6
DFT (PBE) results for crystalline Sm12HoEr2 at its relaxed geometry.

Structure (CIF):
```
data_Sm12HoEr2
_cell_length_a 6.4764
_cell_length_b 6.4764
_cell_length_c 25.2989
_cell_angle_alpha 90.00
_cell_angle_beta 90.00
_cell_angle_gamma 90.00
_space_group_name_H-M_alt 'P 1'
_space_group_IT_number 1
loop_
_space_group_symop_operation_xyz
'x,y,z'
loop_
_atom_site_label
_atom_site_type_symbol
_atom_site_fract_x
_atom_site_fract_y
_atom_site_fract_z
_atom_site_occupancy
Sm1 Sm 0.5000 0.5000 0.7846 1
Sm2 Sm 0.0000 0.0000 0.7846 1
Sm3 Sm 0.8171 0.6829 0.8853 1
Sm4 Sm 0.3171 0.8171 0.8853 1
Sm5 Sm 0.0000 0.0000 0.3374 1
Sm6 Sm 0.1829 0.6829 0.1147 1
Sm7 Sm 0.8321 0.3321 0.5621 1
Sm8 Sm 0.5000 0.5000 0.3374 1
Sm9 Sm 0.1829 0.3171 0.8853 1
Sm10 Sm 0.6829 0.8171 0.1147 1
Sm11 Sm 0.3321 0.1679 0.5621 1
Sm12 Sm 0.6679 0.1679 0.4379 1
Sm13 Sm 0.0000 0.0000 0.6626 1
Sm14 Sm 0.1679 0.3321 0.4379 1
Sm15 Sm 0.3171 0.1829 0.1147 1
Sm16 Sm 0.8321 0.6679 0.4379 1
Sm17 Sm 0.6679 0.8321 0.5621 1
Sm18 Sm 0.0000 0.0000 0.2154 1
Sm19 Sm 0.1679 0.6679 0.5621 1
Sm20 Sm 0.5000 0.5000 0.6626 1
Sm21 Sm 0.6829 0.1829 0.8853 1
Sm22 Sm 0.5000 0.5000 0.2154 1
Sm23 Sm 0.3321 0.8321 0.4379 1
Sm24 Sm 0.8171 0.3171 0.1147 1
Ho1 Ho 0.5000 0.0000 0.0000 1
Ho2 Ho 0.0000 0.5000 0.0000 1
Er1 Er 0.5000 0.0000 0.2726 1
Er2 Er 0.0000 0.5000 0.2726 1
Er3 Er 0.0000 0.5000 0.7274 1
Er4 Er 0.5000 0.0000 0.7274 1
```

Summary:
**D(E_F)**: 38.40 states/eV per cell
**Total energy**: -130.805 eV/cell

=====

# 7
DFT (PBE) results for crystalline V2OsRu3 at its relaxed geometry.

Structure (CIF):
```
data_V2OsRu3
_cell_length_a 4.0687
_cell_length_b 7.8536
_cell_length_c 6.4461
_cell_angle_alpha 118.47
_cell_angle_beta 108.43
_cell_angle_gamma 89.98
_space_group_name_H-M_alt 'P 1'
_space_group_IT_number 1
loop_
_space_group_symop_operation_xyz
'x,y,z'
loop_
_atom_site_label
_atom_site_type_symbol
_atom_site_fract_x
_atom_site_fract_y
_atom_site_fract_z
_atom_site_occupancy
V1 V 0.5255 0.8556 0.0516 1
V2 V 0.4745 0.1444 0.9484 1
V3 V 0.2096 0.8617 0.4195 1
V4 V 0.7904 0.1383 0.5805 1
Os1 Os 0.1273 0.0878 0.2539 1
Os2 Os 0.8727 0.9122 0.7461 1
Ru1 Ru 0.0311 0.3483 0.0623 1
Ru2 Ru 0.9689 0.6517 0.9377 1
Ru3 Ru 0.7079 0.3699 0.4165 1
Ru4 Ru 0.2921 0.6301 0.5835 1
Ru5 Ru 0.6309 0.6440 0.2627 1
Ru6 Ru 0.3691 0.3560 0.7373 1
```

Summary:
**D(E_F)**: 11.20 states/eV per cell
**Total energy**: -114.833 eV/cell

=====

# 8
DFT (PBE) results for crystalline NpTcSnRh at its relaxed geometry.

Structure (CIF):
```
data_NpTcSnRh
_cell_length_a 4.7037
_cell_length_b 4.7037
_cell_length_c 4.7037
_cell_angle_alpha 60.00
_cell_angle_beta 60.00
_cell_angle_gamma 60.00
_space_group_name_H-M_alt 'P 1'
_space_group_IT_number 1
loop_
_space_group_symop_operation_xyz
'x,y,z'
loop_
_atom_site_label
_atom_site_type_symbol
_atom_site_fract_x
_atom_site_fract_y
_atom_site_fract_z
_atom_site_occupancy
Np1 Np 0.7500 0.7500 0.7500 1
Rh1 Rh 0.0000 0.0000 0.0000 1
Sn1 Sn 0.2500 0.2500 0.2500 1
Tc1 Tc 0.5000 0.5000 0.5000 1
```

Summary:
**D(E_F)**: 5.88 states/eV per cell
**Total energy**: -35.476 eV/cell

=====

# 9
DFT (PBE) results for crystalline Zr2CoI at its relaxed geometry.

Structure (CIF):
```
data_Zr2CoI
_cell_length_a 4.8346
_cell_length_b 4.8346
_cell_length_c 4.8346
_cell_angle_alpha 60.00
_cell_angle_beta 60.00
_cell_angle_gamma 60.00
_space_group_name_H-M_alt 'P 1'
_space_group_IT_number 1
loop_
_space_group_symop_operation_xyz
'x,y,z'
loop_
_atom_site_label
_atom_site_type_symbol
_atom_site_fract_x
_atom_site_fract_y
_atom_site_fract_z
_atom_site_occupancy
I1 I 0.5000 0.5000 0.5000 1
Co1 Co 0.0000 0.0000 0.0000 1
Zr1 Zr 0.2500 0.2500 0.2500 1
Zr2 Zr 0.7500 0.7500 0.7500 1
```

Summary:
**D(E_F)**: 5.04 states/eV per cell
**Raw formation energy**: 5.52 kcal/mol of atoms
**Total energy**: -24.795 eV/cell
**ΔE to the lowest computed polymorph**: 0.0000 eV per atom

=====

# 10
DFT (PBE) results for crystalline PmMg3Pt at its relaxed geometry.

Structure (CIF):
```
data_PmMg3Pt
_cell_length_a 5.5964
_cell_length_b 5.8909
_cell_length_c 7.6597
_cell_angle_alpha 90.00
_cell_angle_beta 113.76
_cell_angle_gamma 90.00
_space_group_name_H-M_alt 'P 1'
_space_group_IT_number 1
loop_
_space_group_symop_operation_xyz
'x,y,z'
loop_
_atom_site_label
_atom_site_type_symbol
_atom_site_fract_x
_atom_site_fract_y
_atom_site_fract_z
_atom_site_occupancy
Pm1 Pm 0.7264 0.9476 0.8932 1
Pm2 Pm 0.3079 0.4476 0.6674 1
Mg1 Mg 0.8736 0.4476 0.1735 1
Mg2 Mg 0.1607 0.9476 0.3871 1
Mg3 Mg 0.7295 0.1956 0.4847 1
Mg4 Mg 0.7295 0.6996 0.4847 1
Mg5 Mg 0.3048 0.6956 0.0759 1
Mg6 Mg 0.3048 0.1996 0.0759 1
Pt1 Pt 0.8752 0.4476 0.8160 1
Pt2 Pt 0.1591 0.9476 0.7446 1
```

Summary:
**D(E_F)**: 5.09 states/eV per cell
**Total energy**: -36.393 eV/cell
**ΔE to the lowest computed polymorph**: 0.0000 eV per atom

=====

# 11
DFT (PBE) results for crystalline TbTm4Tl7 at its relaxed geometry.

Structure (CIF):
```
data_TbTm4Tl7
_cell_length_a 5.6635
_cell_length_b 9.7858
_cell_length_c 7.2961
_cell_angle_alpha 80.92
_cell_angle_beta 67.16
_cell_angle_gamma 73.18
_space_group_name_H-M_alt 'P 1'
_space_group_IT_number 1
loop_
_space_group_symop_operation_xyz
'x,y,z'
loop_
_atom_site_label
_atom_site_type_symbol
_atom_site_fract_x
_atom_site_fract_y
_atom_site_fract_z
_atom_site_occupancy
Tb1 Tb 0.0000 0.0000 0.0000 1
Tm1 Tm 0.5831 0.2166 0.6173 1
Tm2 Tm 0.4169 0.7834 0.3827 1
Tm3 Tm 0.7173 0.6737 0.8918 1
Tm4 Tm 0.2827 0.3263 0.1082 1
Tl1 Tl 0.7870 0.8945 0.5316 1
Tl2 Tl 0.2130 0.1055 0.4684 1
Tl3 Tl 0.0813 0.6703 0.1672 1
Tl4 Tl 0.9187 0.3297 0.8328 1
Tl5 Tl 0.3651 0.5476 0.7222 1
Tl6 Tl 0.5000 0.0000 0.0000 1
Tl7 Tl 0.6349 0.4524 0.2778 1
```

Summary:
**D(E_F)**: 6.26 states/eV per cell
**Total energy**: -39.989 eV/cell

=====

# 12
DFT (PBE) results for crystalline Pu2AlGe6Ir at its relaxed geometry.

Structure (CIF):
```
data_Pu2AlGe6Ir
_cell_length_a 6.2658
_cell_length_b 6.2658
_cell_length_c 12.7520
_cell_angle_alpha 75.78
_cell_angle_beta 75.78
_cell_angle_gamma 60.00
_space_group_name_H-M_alt 'P 1'
_space_group_IT_number 1
loop_
_space_group_symop_operation_xyz
'x,y,z'
loop_
_atom_site_label
_atom_site_type_symbol
_atom_site_fract_x
_atom_site_fract_y
_atom_site_fract_z
_atom_site_occupancy
Pu1 Pu 0.8733 0.8733 0.3800 1
Pu2 Pu 0.1267 0.1267 0.6200 1
Pu3 Pu 0.7056 0.7056 0.8833 1
Pu4 Pu 0.2944 0.2944 0.1167 1
Al1 Al 0.0000 0.0000 0.0000 1
Al2 Al 0.5000 0.5000 0.5000 1
Ge1 Ge 0.9407 0.3374 0.3845 1
Ge2 Ge 0.3374 0.9407 0.3845 1
Ge3 Ge 0.3374 0.3374 0.3845 1
Ge4 Ge 0.0593 0.6626 0.6155 1
Ge5 Ge 0.6626 0.0593 0.6155 1
Ge6 Ge 0.6626 0.6626 0.6155 1
Ge7 Ge 0.6588 0.2334 0.8744 1
Ge8 Ge 0.2334 0.6588 0.8744 1
Ge9 Ge 0.2334 0.2334 0.8744 1
Ge10 Ge 0.3412 0.7666 0.1256 1
Ge11 Ge 0.7666 0.3412 0.1256 1
Ge12 Ge 0.7666 0.7666 0.1256 1
Ir1 Ir 0.5686 0.5686 0.2941 1
Ir2 Ir 0.4314 0.4314 0.7059 1
```

Summary:
**D(E_F)**: 40.06 states/eV per cell
**Total energy**: -141.206 eV/cell

=====

# 13
DFT (PBE) results for crystalline CeUPa2P4 at its relaxed geometry.

Structure (CIF):
```
data_CeUPa2P4
_cell_length_a 3.9784
_cell_length_b 6.9180
_cell_length_c 6.9031
_cell_angle_alpha 109.38
_cell_angle_beta 90.00
_cell_angle_gamma 90.00
_space_group_name_H-M_alt 'P 1'
_space_group_IT_number 1
loop_
_space_group_symop_operation_xyz
'x,y,z'
loop_
_atom_site_label
_atom_site_type_symbol
_atom_site_fract_x
_atom_site_fract_y
_atom_site_fract_z
_atom_site_occupancy
Ce1 Ce 0.0000 0.0000 0.0000 1
U1 U 0.5000 0.5000 0.0000 1
Pa1 Pa 0.5000 0.0000 0.5000 1
Pa2 Pa 0.0000 0.5000 0.5000 1
P1 P 0.5000 0.2557 0.2543 1
P2 P 0.5000 0.7443 0.7457 1
P3 P 0.0000 0.2536 0.7490 1
P4 P 0.0000 0.7464 0.2510 1
```

Summary:
**D(E_F)**: 14.08 states/eV per cell
**Total energy**: -68.034 eV/cell

=====

# 14
DFT (PBE) results for crystalline Be2OF at its relaxed geometry.

Structure (CIF):
```
data_Be2OF
_cell_length_a 3.5945
_cell_length_b 3.5945
_cell_length_c 3.5945
_cell_angle_alpha 60.00
_cell_angle_beta 60.00
_cell_angle_gamma 60.00
_space_group_name_H-M_alt 'P 1'
_space_group_IT_number 1
loop_
_space_group_symop_operation_xyz
'x,y,z'
loop_
_atom_site_label
_atom_site_type_symbol
_atom_site_fract_x
_atom_site_fract_y
_atom_site_fract_z
_atom_site_occupancy
Be1 Be 0.2500 0.2500 0.2500 1
Be2 Be 0.7500 0.7500 0.7500 1
O1 O 0.0000 0.0000 0.0000 1
F1 F 0.5000 0.5000 0.5000 1
```

Summary:
**D(E_F)**: 1.57 states/eV per cell
**Raw formation energy**: -13.15 kcal/mol of atoms
**Total energy**: -16.563 eV/cell
**ΔE to the lowest computed polymorph**: 1.1851 eV per atom

=====

# 15
DFT (PBE) results for crystalline Zr3CuF at its relaxed geometry.

Structure (CIF):
```
data_Zr3CuF
_cell_length_a 4.4822
_cell_length_b 4.4822
_cell_length_c 4.4822
_cell_angle_alpha 90.00
_cell_angle_beta 90.00
_cell_angle_gamma 90.00
_space_group_name_H-M_alt 'P 1'
_space_group_IT_number 1
loop_
_space_group_symop_operation_xyz
'x,y,z'
loop_
_atom_site_label
_atom_site_type_symbol
_atom_site_fract_x
_atom_site_fract_y
_atom_site_fract_z
_atom_site_occupancy
Cu1 Cu 0.5000 0.5000 0.5000 1
Zr1 Zr 0.0000 0.5000 0.0000 1
Zr2 Zr 0.0000 0.0000 0.5000 1
Zr3 Zr 0.5000 0.0000 0.0000 1
F1 F 0.0000 0.0000 0.0000 1
```

Summary:
**D(E_F)**: 6.68 states/eV per cell
**Raw formation energy**: -9.64 kcal/mol of atoms
**Total energy**: -33.702 eV/cell
**ΔE to the lowest computed polymorph**: 0.0000 eV per atom

=====

# 16
DFT (PBE) results for crystalline Ca2BeRu at its relaxed geometry.

Structure (CIF):
```
data_Ca2BeRu
_cell_length_a 9.2425
_cell_length_b 9.2425
_cell_length_c 9.2425
_cell_angle_alpha 20.89
_cell_angle_beta 20.89
_cell_angle_gamma 20.89
_space_group_name_H-M_alt 'P 1'
_space_group_IT_number 1
loop_
_space_group_symop_operation_xyz
'x,y,z'
loop_
_atom_site_label
_atom_site_type_symbol
_atom_site_fract_x
_atom_site_fract_y
_atom_site_fract_z
_atom_site_occupancy
Ru1 Ru 0.2500 0.2500 0.2500 1
Ca1 Ca 0.9947 0.9947 0.9947 1
Ca2 Ca 0.5053 0.5053 0.5053 1
Be1 Be 0.7500 0.7500 0.7500 1
```

Summary:
**D(E_F)**: 2.42 states/eV per cell
**Total energy**: -14.194 eV/cell

=====

# 17
DFT (PBE) results for crystalline Be3Sb at its relaxed geometry.

Structure (CIF):
```
data_Be3Sb
_cell_length_a 2.7490
_cell_length_b 3.4683
_cell_length_c 5.7293
_cell_angle_alpha 90.00
_cell_angle_beta 90.00
_cell_angle_gamma 90.00
_space_group_name_H-M_alt 'P 1'
_space_group_IT_number 1
loop_
_space_group_symop_operation_xyz
'x,y,z'
loop_
_atom_site_label
_atom_site_type_symbol
_atom_site_fract_x
_atom_site_fract_y
_atom_site_fract_z
_atom_site_occupancy
Sb1 Sb 0.0000 0.0000 0.0000 1
Be1 Be 0.5000 0.5000 0.6792 1
Be2 Be 0.0000 0.0000 0.5000 1
Be3 Be 0.5000 0.5000 0.3208 1
```

Summary:
**D(E_F)**: 1.25 states/eV per cell
**Raw formation energy**: 14.82 kcal/mol of atoms
**Total energy**: -12.731 eV/cell
**ΔE to the lowest computed polymorph**: 0.2522 eV per atom